First-principles (PBE-GGA) data for a relaxed structure of Mg2SiB2, as listed in the Alexandria database.

Lattice parameters (Å, degrees): 5.4226 5.4226 5.4226 138.63 138.63 59.94
Last column: nearest neighbours and their distance in Å.
Fractional positions:
Mg1 0.2500 0.7500 0.5000  4 B 2.47, 4 Mg 2.71
Mg2 0.7500 0.2500 0.5000  4 B 2.47, 4 Mg 2.71
Si1 0.0000 0.0000 0.0000  8 B 2.82, 8 Mg 3.03
B1 0.4153 0.4153 0.0000  1 B 1.59
B2 0.5847 0.5847 0.0000  1 B 1.59

## Properties
Calculated volume, Å³ per atom: 13.79
Space-group type: I4/mmm, No. 139
Energy relative to the elements, uncorrected, eV/atom: 0.573



First-principles (PBE-GGA) data for a relaxed structure of Mg2Si2B, as listed in the Alexandria database.

Lattice parameters (Å, degrees): 8.0360 8.0360 8.0360 156.13 156.13 34.02
Last column: nearest neighbours and their distance in Å.
Fractional positions:
Mg1 0.0911 0.0911 0.0000  4 B 2.74, 1 Mg 2.80, 4 Si 2.95
Mg2 0.9089 0.9089 0.0000  4 B 2.74, 1 Mg 2.80, 4 Si 2.95
Si1 0.2500 0.7500 0.5000  4 Si 2.35
Si2 0.7500 0.2500 0.5000  4 Si 2.35
B1 0.5000 0.5000 0.0000  8 Mg 2.74

## Properties
Calculated volume, Å³ per atom: 16.98
Space-group type: I4/mmm, No. 139
Energy relative to the elements, uncorrected, eV/atom: 0.575



no.,polymorph energy (0 for the lowest one) (eV/atom)
1,0.383
2,0.000